No. 1
# LiNdTlIn

An optimized crystal structure of LiNdTlIn (PBE, the Alexandria database).

The structure in extended XYZ format:
```
4
Lattice="5.2632 0.0000 0.0000 2.6316 4.5580 0.0000 2.6316 1.5193 4.2974" Properties=species:S:1:pos:R:3 pbc="T T T"
In 7.8947 4.5580 3.2230
Nd 5.2632 3.0387 2.1487
Tl 2.6316 1.5193 1.0743
Li 0.0000 0.0000 0.0000
```

Output
Energy of formation from the pure elements ... -0.36 eV per atom
Space group ... F-43m, No. 216



No. 2
# La8SiSn2

An optimized crystal structure of La8SiSn2 (PBE, the Alexandria database).

The structure in extended XYZ format:
```
11
Lattice="-2.7290 -3.8840 2.5062 0.2806 -3.9423 -5.8040 9.2630 -0.1070 4.1721" Properties=species:S:1:pos:R:3 pbc="T T T"
La 5.5032 -1.4666 3.7195
La 1.3115 -6.4667 -2.8452
La 6.6962 -3.8290 1.3575
La 3.5565 -2.1002 0.6179
La 0.2249 -3.0392 -4.4650
La 3.2581 -5.8330 0.2564
La 0.1184 -4.1043 -0.4832
La 6.5897 -4.8941 5.3393
Sn 2.8905 -3.5685 -2.3829
Sn 3.9241 -4.3647 3.2572
Si -1.3645 -1.9420 1.2531
```

Output
Formation energy from raw total energies ... -4.850 eV/f.u.
Space group ... C2/m, No. 12



No. 3
# SrScRu4

An optimized crystal structure of SrScRu4 (PBE, the Alexandria database).

The structure in extended XYZ format:
```
6
Lattice="1.4122 -5.1345 0.3711 -3.6937 -3.7173 1.0167 -1.4389 -3.4463 -3.8142" Properties=species:S:1:pos:R:3 pbc="T T T"
Ru -1.3977 -4.6201 -0.9116
Ru -2.1132 -6.3339 -2.8083
Ru -0.6954 -7.1735 -0.7270
Ru -3.2345 -6.4687 -0.4060
Sc -2.7903 -9.2236 -1.8198
Sr 0.0000 0.0000 0.0000
```

Output
Energy of formation from the pure elements ... 0.09 eV per atom
Space group ... F-43m, No. 216



No. 4
# BeCu2Se

An optimized crystal structure of BeCu2Se (PBE, the Alexandria database).

The structure in extended XYZ format:
```
4
Lattice="-1.7357 0.9583 -2.6135 2.3013 -1.2386 -1.9826 -2.3664 -4.3557 -0.0256" Properties=species:S:1:pos:R:3 pbc="T T T"
Cu -1.2176 -2.2412 -0.0132
Cu -2.3320 -4.2924 -0.0253
Be -1.4919 -3.4069 -2.3172
Se -0.3088 -1.2291 -2.3044
```

Output
Formation energy from raw total energies ... 0.677 eV/f.u.
Space group ... P4/mmm, No. 123



No. 5
# Sr3Li2

An optimized crystal structure of Sr3Li2 (PBE, the Alexandria database).

The structure in extended XYZ format:
```
5
Lattice="-3.6381 -0.4261 -2.5722 2.5476 -3.2281 -3.0686 -4.0613 -5.4453 6.6462" Properties=species:S:1:pos:R:3 pbc="T T T"
Li -1.6809 -4.7031 -0.7377
Li -3.4709 -4.3963 1.7432
Sr -0.7319 -6.6934 2.1439
Sr -0.7818 -1.9800 1.4338
Sr -0.5452 -1.8271 -2.8204
```

Output
Energy of formation from the pure elements ... 0.03 eV per atom
Space group ... Cmmm, No. 65



No. 6
# CaNd2TmBi4

An optimized crystal structure of CaNd2TmBi4 (PBE, the Alexandria database).

The structure in extended XYZ format:
```
8
Lattice="4.5583 0.0000 0.0000 0.0000 7.8684 -0.1449 0.0000 2.7806 7.4658" Properties=species:S:1:pos:R:3 pbc="T T T"
Bi 2.2792 4.0996 5.5931
Bi 4.5583 2.7112 1.7719
Bi 0.0001 7.9378 5.5489
Bi 2.2792 6.5494 1.7277
Nd 2.2792 1.3903 3.7329
Nd 0.0000 2.7806 7.4658
Ca 0.0000 5.3245 3.6604
Tm 2.2792 3.9342 -0.0725
```

Output
Energy of formation from the pure elements ... -0.82 eV per atom
Space group ... P2/m, No. 10